Entry 1:
The following is a PBE-GGA calculation of a relaxed structure of Mg2GaPd8, from Alexandria.

Output
The calculation puts the raw total energy at -52.75 eV per cell. The value obtained for the formation energy is -453 meV per atom. The magnetic moment is 0.0 μB/f.u.

Unit cell a=7.616 b=7.616 c=7.616 alpha=145.86 beta=134.27 gamma=58.29
Positions (direct):
Mg 0.190 0.190 0.000
Mg 0.810 0.810 0.000
Ga 0.500 0.500 0.000
Pd 0.091 0.358 0.733
Pd 0.237 0.000 0.237
Pd 0.326 0.826 0.500
Pd 0.374 0.642 0.733
Pd 0.626 0.358 0.267
Pd 0.674 0.174 0.500
Pd 0.763 0.000 0.763
Pd 0.909 0.642 0.267

---

Entry 2:
The following is a PBE-GGA calculation of a relaxed structure of AlPtW2, from Alexandria.

Output
The calculation puts the raw total energy at -36.52 eV per cell. The value obtained for the formation energy is -207 meV per atom. The magnetic moment is 0.0 μB/f.u.

Unit cell a=3.549 b=3.951 c=4.430 alpha=90.00 beta=90.00 gamma=90.00
Positions (direct):
Al 0.000 0.000 0.000
Pt 0.500 0.500 0.000
W 0.000 0.500 0.500
W 0.500 0.000 0.500